Below is a relaxed Li4CrOs crystal, with properties calculated at the GGA-PBE level.

Summary:
Calculated formation energy ... 0.502 eV/atom
E ... -4.249 eV per atom
Size of the total moment ... 0.1 μB/f.u.
Fermi-level density of states ... 1.08 states/eV/f.u.
Calculated volume ... 279.4 Å³/cell

Cell: 6.537 6.537 6.537 Å, 90.00 90.00 90.00°
Space group F-43m (No. 216)
Inequivalent atoms, fractional coordinates:
Li: 0.124 0.124 0.124 x16
Cr: 0.000 0.000 0.500 x4
Os: 0.250 0.250 0.750 x4